No. 1
YHoPbC (PBE-GGA, relaxed); electronic total energy = -6.5014 eV/atom; calculated density = 8.5 g cm⁻³; space group = P6_3mc
1.0
3.6358 0.0000 0.0000
-1.8179 3.1487 0.0000
0.0000 0.0000 16.0670
Pb Ho Y C
2 2 2 2
direct
0.3333 0.6667 0.7497
0.6667 0.3333 0.2497
0.3333 0.6667 0.0822
0.6667 0.3333 0.5822
0.3333 0.6667 0.4170
0.6667 0.3333 0.9170
0.0000 0.0000 0.0011
0.0000 0.0000 0.5011

=====

No. 2
LaCo (PBE-GGA, relaxed); electronic total energy = -5.5928 eV/atom; calculated density = 6.5 g cm⁻³; formation energy from the elements = 422 meV/atom; space group = P6_3mc
1.0
2.2516 -3.8998 0.0000
2.2516 3.8998 0.0000
0.0000 0.0000 5.7467
Co La
2 2
direct
0.3333 0.6667 0.4409
0.0000 0.0000 0.9409
0.0000 0.0000 0.4341
0.3333 0.6667 0.9341

=====

No. 3
BaSrCdAsP (PBE-GGA, relaxed); E above lowest polymorph = 0.05 eV/f.u.; electronic total energy = -3.8536 eV/atom; calculated density = 4.9 g cm⁻³; space group = Cmc2_1
1.0
2.2508 -8.7851 0.0000
2.2508 8.7851 0.0000
0.0000 0.0000 7.5216
As Cd Ba Sr P
2 2 2 2 2
direct
0.1695 0.8305 0.5221
0.8305 0.1695 0.0221
0.5924 0.4076 0.4242
0.4076 0.5924 0.9242
0.1990 0.8010 0.0895
0.8010 0.1990 0.5895
0.9694 0.0306 0.2678
0.0306 0.9694 0.7678
0.4435 0.5565 0.5620
0.5565 0.4435 0.0620

=====

No. 4
ZnTc (PBE-GGA, relaxed); E above lowest polymorph = 0.00 eV/f.u.; electronic total energy = -5.8433 eV/atom; calculated density = 9.4 g cm⁻³; formation energy from the elements = -31 meV/atom; space group = Pbcm
1.0
-0.3960 4.1553 0.9250
-5.8569 -1.0223 2.0869
1.5252 -0.7281 3.9237
Tc Zn
4 4
direct
0.4170 0.7355 0.0000
0.9164 0.7356 0.5000
0.4163 0.5145 0.5000
0.9170 0.5145 0.0000
0.4155 0.0061 0.5000
0.4179 0.2439 0.0000
0.9155 0.2439 0.5000
0.9179 0.0061 0.0000

=====

No. 5
ErNb2Ga2 (PBE-GGA, relaxed); electronic total energy = -6.4363 eV/atom; calculated density = 8.7 g cm⁻³; space group = P4/mbm
1.0
7.3275 0.0000 0.0000
0.0000 7.3275 0.0000
0.0000 0.0000 3.4883
Ga Nb Er
4 4 2
direct
0.6226 0.8774 0.0000
0.3774 0.1226 0.0000
0.1226 0.6226 0.0000
0.8774 0.3774 0.0000
0.3266 0.8266 0.5000
0.8266 0.6734 0.5000
0.6734 0.1734 0.5000
0.1734 0.3266 0.5000
0.5000 0.5000 0.0000
0.0000 0.0000 0.0000

=====

No. 6
NaAg2Te2 (PBE-GGA, relaxed); electronic total energy = -2.9420 eV/atom; calculated density = 6.0 g cm⁻³; space group = I4/mmm
1.0
-2.2203 2.2203 6.8979
2.2203 -2.2203 6.8979
2.2203 2.2203 -6.8979
Te Ag Na
2 2 1
direct
0.6200 0.6200 0.0000
0.3800 0.3800 0.0000
0.7500 0.2500 0.5000
0.2500 0.7500 0.5000
0.0000 0.0000 0.0000

=====

No. 7
SrCuSbPt (PBE-GGA, relaxed); E above lowest polymorph = 0.00 eV/f.u.; electronic total energy = -4.2051 eV/atom; calculated density = 9.2 g cm⁻³; space group = F-43m
1.0
-0.8482 -4.8037 0.7196
0.7398 -1.9949 4.4481
-3.8473 -1.4430 2.7256
Pt Sb Cu Sr
1 1 1 1
direct
0.2500 0.2500 0.2500
0.0000 0.0000 0.0000
0.7500 0.7500 0.7500
0.5000 0.5000 0.5000

=====

No. 8
Sm2IrO4 (PBE-GGA, relaxed); electronic total energy = -7.3620 eV/atom; calculated density = 8.2 g cm⁻³; space group = Fd-3m
1.0
3.0484 3.4188 5.0665
3.7489 -2.7431 -5.0071
-3.9598 5.4170 -1.2753
Ir O Sm
2 8 4
direct
0.0000 0.0000 0.0000
0.7500 0.5000 0.2500
0.1335 0.2669 0.8666
0.6165 0.2331 0.3834
0.5998 0.7331 0.8666
0.6166 0.2331 0.8498
0.1334 0.2669 0.4002
0.6166 0.7669 0.3835
0.1334 0.7331 0.8665
0.1502 0.7669 0.3834
0.3750 0.7500 0.1250
0.8750 0.2500 0.6250
0.3750 0.2500 0.6250
0.3750 0.7500 0.6250

=====

Question: Number 7 is which compound?
Answer: SrCuSbPt